Entry 1:
{
  "formula": "Mg2ZrNbBr",
  "functional": "PBE-GGA",
  "state": "relaxed",
  "e_form_raw_ev_per_atom": 1.042,
  "dos_at_fermi_per_ev_fu": 4.66,
  "lattice": [[5.342, 0.000, 0.000], [0.000, 4.821, 0.000], [0.000, 0.000, 5.342]],
  "species": ["Mg", "Mg", "Nb", "Br", "Zr"],
  "frac_coords": [[0.000, 0.000, 0.500], [0.500, 0.000, 0.000], [0.000, 0.000, 0.000], [0.000, 0.500, 0.000], [0.500, 0.500, 0.500]]
}


Entry 2:
{
  "formula": "NdMgBr",
  "functional": "PBE-GGA",
  "state": "relaxed",
  "e_form_raw_ev_per_atom": -0.780,
  "dos_at_fermi_per_ev_fu": 2.84,
  "lattice": [[-3.615, 0.581, -0.036], [-0.500, -3.212, -1.713], [6.122, -7.422, 12.121]],
  "species": ["Mg", "Mg", "Nd", "Nd", "Br", "Br"],
  "frac_coords": [[0.810, 0.577, 0.653], [0.567, 0.077, 0.780], [0.967, 0.075, 0.481], [0.413, 0.574, 0.952], [0.213, 0.575, 0.354], [0.168, 0.074, 0.079]]
}


Entry 3:
{
  "formula": "NdMgBr2",
  "functional": "PBE-GGA",
  "state": "relaxed",
  "e_form_raw_ev_per_atom": -0.802,
  "dos_at_fermi_per_ev_fu": 3.53,
  "lattice": [[3.769, 0.000, 0.000], [1.885, 3.264, 0.000], [1.885, 1.088, 9.509]],
  "species": ["Mg", "Nd", "Br", "Br"],
  "frac_coords": [[0.500, 0.500, 0.500], [0.000, 0.000, 0.000], [0.111, 0.111, 0.666], [0.889, 0.889, 0.334]]
}


Entry 4:
{
  "formula": "NdMgBr4",
  "functional": "PBE-GGA",
  "state": "relaxed",
  "e_form_raw_ev_per_atom": -1.532,
  "dos_at_fermi_per_ev_fu": 2.06,
  "lattice": [[3.810, 0.000, 0.000], [0.000, 7.629, 0.418], [0.000, -2.443, 7.079]],
  "species": ["Nd", "Mg", "Br", "Br", "Br", "Br"],
  "frac_coords": [[0.500, 0.500, 0.000], [0.000, 0.500, 0.500], [0.000, 0.269, 0.720], [0.000, 0.731, 0.280], [0.500, 0.293, 0.286], [0.500, 0.707, 0.714]]
}


Entry 5:
{
  "formula": "NdMgBr6",
  "functional": "PBE-GGA",
  "state": "relaxed",
  "e_form_raw_ev_per_atom": -1.294,
  "dos_at_fermi_per_ev_fu": 9.58,
  "lattice": [[-1.319, -0.142, -7.727], [2.739, -5.929, -4.336], [-4.962, -5.257, -3.033]],
  "species": ["Nd", "Mg", "Br", "Br", "Br", "Br", "Br", "Br"],
  "frac_coords": [[0.500, 0.500, 0.500], [0.000, 0.000, 0.000], [0.760, 0.760, 0.240], [0.760, 0.240, 0.240], [0.240, 0.760, 0.760], [0.240, 0.240, 0.760], [0.240, 0.760, 0.240], [0.760, 0.240, 0.760]]
}


Entry 6:
{
  "formula": "RbNdMgBr6",
  "functional": "PBE-GGA",
  "state": "relaxed",
  "e_form_raw_ev_per_atom": -1.730,
  "dos_at_fermi_per_ev_fu": 0.00,
  "lattice": [[7.333, 0.000, 0.000], [-3.666, 6.350, 0.000], [0.000, 0.000, 15.208]],
  "species": ["Rb", "Rb", "Nd", "Nd", "Mg", "Mg", "Br", "Br", "Br", "Br", "Br", "Br", "Br", "Br", "Br", "Br", "Br", "Br"],
  "frac_coords": [[0.000, 0.000, 0.000], [0.000, 0.000, 0.500], [0.667, 0.333, 0.250], [0.333, 0.667, 0.750], [0.333, 0.667, 0.250], [0.667, 0.333, 0.750], [0.615, 0.635, 0.144], [0.020, 0.385, 0.144], [0.385, 0.020, 0.644], [0.980, 0.615, 0.856], [0.365, 0.385, 0.356], [0.020, 0.635, 0.356], [0.635, 0.020, 0.856], [0.615, 0.980, 0.356], [0.980, 0.365, 0.644], [0.365, 0.980, 0.144], [0.635, 0.615, 0.644], [0.385, 0.365, 0.856]]
}


Entry 7:
{
  "formula": "Mg3NiBr",
  "functional": "PBE-GGA",
  "state": "relaxed",
  "e_form_raw_ev_per_atom": -0.080,
  "dos_at_fermi_per_ev_fu": 2.18,
  "lattice": [[4.950, 0.000, 0.000], [0.000, 4.950, 0.000], [0.000, 0.000, 4.950]],
  "species": ["Ni", "Mg", "Mg", "Mg", "Br"],
  "frac_coords": [[0.000, 0.000, 0.000], [0.000, 0.500, 0.000], [0.000, 0.000, 0.500], [0.500, 0.000, 0.000], [0.500, 0.500, 0.500]]
}


Entry 8:
{
  "formula": "Mg2NiBr",
  "functional": "PBE-GGA",
  "state": "relaxed",
  "e_form_raw_ev_per_atom": -0.094,
  "dos_at_fermi_per_ev_fu": 1.20,
  "lattice": [[-5.776, 2.855, 3.074], [0.031, -2.693, -4.099], [-2.034, -2.024, 1.321]],
  "species": ["Br", "Mg", "Mg", "Ni"],
  "frac_coords": [[0.500, 0.500, 0.000], [0.000, 0.000, 0.000], [0.500, 0.000, 0.500], [0.000, 0.500, 0.500]]
}


Entry 9:
{
  "formula": "MgNiBr2",
  "functional": "PBE-GGA",
  "state": "relaxed",
  "e_form_raw_ev_per_atom": -0.365,
  "dos_at_fermi_per_ev_fu": 1.12,
  "lattice": [[-2.303, 7.712, 0.429], [-3.627, 5.396, 4.764], [5.262, -5.848, -1.757]],
  "species": ["Br", "Br", "Mg", "Ni"],
  "frac_coords": [[0.010, 0.010, 0.000], [0.779, 0.279, 0.500], [0.422, 0.422, 0.000], [0.288, 0.788, 0.500]]
}


Entry 10:
{
  "formula": "MgNi2Br",
  "functional": "PBE-GGA",
  "state": "relaxed",
  "e_form_raw_ev_per_atom": 0.026,
  "dos_at_fermi_per_ev_fu": 4.50,
  "lattice": [[3.235, 0.000, 0.000], [0.000, 3.235, 0.000], [0.000, 0.000, 6.913]],
  "species": ["Br", "Mg", "Ni", "Ni"],
  "frac_coords": [[0.000, 0.000, 0.551], [0.500, 0.500, 0.780], [0.000, 0.000, 0.031], [0.500, 0.500, 0.139]]
}


Entry 11:
{
  "formula": "MgNiBr2",
  "functional": "PBE-GGA",
  "state": "relaxed",
  "e_form_raw_ev_per_atom": 0.282,
  "dos_at_fermi_per_ev_fu": 7.15,
  "lattice": [[-4.790, 1.125, -0.208], [-3.329, -3.023, 2.008], [-2.394, 1.341, 4.089]],
  "species": ["Br", "Br", "Mg", "Ni"],
  "frac_coords": [[0.000, 0.000, 0.000], [0.250, 0.250, 0.250], [0.500, 0.500, 0.500], [0.750, 0.750, 0.750]]
}


Entry 12:
{
  "formula": "MgNi3Br",
  "functional": "PBE-GGA",
  "state": "relaxed",
  "e_form_raw_ev_per_atom": 1.197,
  "dos_at_fermi_per_ev_fu": 8.79,
  "lattice": [[4.538, 0.000, 0.000], [0.000, 4.538, 0.000], [0.000, 0.000, 4.538]],
  "species": ["Ni", "Ni", "Ni", "Mg", "Br"],
  "frac_coords": [[0.000, 0.500, 0.000], [0.000, 0.000, 0.500], [0.500, 0.000, 0.000], [0.000, 0.000, 0.000], [0.500, 0.500, 0.500]]
}